Density functional theory data (GGA-PBE) for crystalline Zr7ZnBi2H2 at its relaxed geometry.

Cell: 6.077 6.068 12.878 Å, 90.00 101.92 90.00°
Space group C2/m (No. 12)
Inequivalent atoms, fractional coordinates:
Zr  0.000  0.000  0.000 [2 per cell]
Zr  0.171  0.249  0.822 [8 per cell]
Zr  0.175  0.000  0.406 [4 per cell]
Zn  0.000  0.500  0.000 [2 per cell]
Bi  0.158  0.500  0.359 [4 per cell]
H  0.074  0.000  0.166 [4 per cell]

raw total energy = -6.635 eV/atom

=====

Density functional theory data (GGA-PBE) for crystalline Zr8BiH6 at its relaxed geometry.

Cell: 9.0810 9.0810 9.5425 Å, 90.00 90.00 120.00°
Space group R-3 (No. 148, hexagonal axes)
Inequivalent atoms, fractional coordinates:
Zr  0.0000  0.0000  0.1704 [6 per cell]
Zr  0.0014  0.6600  0.6020 [18 per cell]
Bi  0.0000  0.0000  0.5000 [3 per cell]
H  0.0731  0.2381  0.9027 [18 per cell]

raw total energy = -6.456 eV/atom

=====

Density functional theory data (GGA-PBE) for crystalline ZrBiH at its relaxed geometry.

Cell: 3.812 3.812 7.761 Å, 90.00 90.00 90.00°
Space group P4/nmm (No. 129, origin choice 2)
Inequivalent atoms, fractional coordinates:
Zr  0.250  0.250  0.113 [2 per cell]
Bi  0.250  0.250  0.677 [2 per cell]
H  0.250  0.750  0.000 [2 per cell]

distance to the lowest polymorph of the same formula = 0.003 eV per atom